# 1
Computed, not measured: crystalline AlCu3Au at its relaxed geometry at the PBE level of DFT.

Calculated values
DFT total energy in eV per formula unit: -19.87
Energy of formation from the pure elements in eV per atom: -0.1115
Crystal system: orthorhombic
V in Å³/f.u.: 69
Polymorph energy (0 for the lowest one) in eV per atom: 0.000

a = 7.0623 Å, b = 7.0945 Å, c = 5.5321 Å
α = 90.00°, β = 90.00°, γ = 90.00°
With the nearest neighbours (Å) after each atom.
Element x y z (fractional)
1 Cu 0.1254 0.8744 0.0027  3 Al 2.47-2.54, 5 Cu 2.47-2.74
2 Cu 0.1707 0.1670 0.7500  6 Cu 2.47-2.52, 2 Al 2.77
3 Au 0.5000 0.0000 0.0000  2 Au 2.77, 8 Cu 2.79-2.99, 4 Al 2.96-2.97
4 Au 0.0000 0.5000 0.0000  2 Au 2.77, 8 Cu 2.79-2.99, 4 Al 2.96-2.97
5 Cu 0.6707 0.3330 0.7500  6 Cu 2.47-2.52, 2 Al 2.77
6 Cu 0.3293 0.6670 0.2500  6 Cu 2.47-2.52, 2 Al 2.77
7 Cu 0.8746 0.1256 0.5027  3 Al 2.47-2.54, 5 Cu 2.47-2.74
8 Au 0.0000 0.5000 0.5000  2 Au 2.77, 8 Cu 2.79-2.99, 4 Al 2.96-2.97
9 Cu 0.8746 0.1256 0.9973  3 Al 2.47-2.54, 5 Cu 2.47-2.74
10 Cu 0.8293 0.8330 0.2500  6 Cu 2.47-2.52, 2 Al 2.77
11 Al 0.6705 0.3277 0.2500  6 Cu 2.47-2.54
12 Cu 0.3746 0.3744 0.9973  3 Al 2.47-2.54, 5 Cu 2.47-2.74
13 Cu 0.1254 0.8744 0.4973  3 Al 2.47-2.54, 5 Cu 2.47-2.74
14 Al 0.8295 0.8277 0.7500  6 Cu 2.47-2.54
15 Cu 0.6254 0.6256 0.4973  3 Al 2.47-2.54, 5 Cu 2.47-2.74
16 Au 0.5000 0.0000 0.5000  2 Au 2.77, 8 Cu 2.79-2.99, 4 Al 2.96-2.97
17 Cu 0.6254 0.6256 0.0027  3 Al 2.47-2.54, 5 Cu 2.47-2.74
18 Al 0.1705 0.1723 0.2500  6 Cu 2.47-2.54
19 Al 0.3295 0.6723 0.7500  6 Cu 2.47-2.54
20 Cu 0.3746 0.3744 0.5027  3 Al 2.47-2.54, 5 Cu 2.47-2.74



# 2
Computed, not measured: crystalline Sm4CuRu2 at its relaxed geometry at the PBE level of DFT.

Calculated values
DFT total energy in eV per formula unit: -43.11
Energy of formation from the pure elements in eV per atom: -0.2271
Crystal system: trigonal
V in Å³/f.u.: 168
Polymorph energy (0 for the lowest one) in eV per atom: 0.000

a = 4.9196 Å, b = 4.9196 Å, c = 8.4845 Å
α = 73.15°, β = 73.15°, γ = 60.00°
With the nearest neighbours (Å) after each atom.
Element x y z (fractional)
1 Sm 0.3772 0.3772 0.8684  4 Ru 2.98-3.01, 3 Cu 3.03
2 Ru 0.7481 0.7481 0.7556  8 Sm 2.98-3.04
3 Ru 0.2519 0.2519 0.2444  8 Sm 2.98-3.04
4 Cu 0.0000 0.0000 0.0000  8 Sm 3.03-3.04
5 Sm 0.1269 0.1269 0.6193  4 Ru 3.00-3.04, 1 Cu 3.04
6 Sm 0.8731 0.8731 0.3807  4 Ru 3.00-3.04, 1 Cu 3.04
7 Sm 0.6228 0.6228 0.1316  4 Ru 2.98-3.01, 3 Cu 3.03



# 3
Computed, not measured: crystalline YReSi2Ge at its relaxed geometry at the PBE level of DFT.

Calculated values
DFT total energy in eV per formula unit: -30.38
Crystal system: tetragonal
V in Å³/f.u.: 106

a = 4.7709 Å, b = 4.7709 Å, c = 4.6474 Å
α = 90.00°, β = 90.00°, γ = 90.00°
With the nearest neighbours (Å) after each atom.
Element x y z (fractional)
1 Re 0.0000 0.0000 0.5000  2 Ge 2.32
2 Ge 0.0000 0.0000 0.0000  2 Re 2.32, 4 Si 2.39
3 Y 0.5000 0.5000 0.5000  8 Si 3.33, 4 Re 3.37
4 Si 0.0000 0.5000 0.0000  2 Ge 2.39
5 Si 0.5000 0.0000 0.0000  2 Ge 2.39



# 4
Computed, not measured: crystalline BiH6Br at its relaxed geometry at the PBE level of DFT.

Calculated values
DFT total energy in eV per formula unit: -23.88
Crystal system: monoclinic
V in Å³/f.u.: 150

a = 20.0162 Å, b = 5.9659 Å, c = 5.9659 Å
α = 127.15°, β = 30.28°, γ = 149.72°
With the nearest neighbours (Å) after each atom.
Element x y z (fractional)
1 H 0.4064 0.4504 0.5496  2 H 0.98
2 H 0.4097 0.2692 0.3636  1 H 0.98
3 H 0.4097 0.6364 0.7308  1 H 0.98
4 H 0.5903 0.3636 0.2692  1 H 0.98
5 Bi 0.5000 0.0000 0.0000  4 H 2.14
6 H 0.5936 0.5496 0.4504  2 H 0.98
7 Br 0.0000 0.0000 0.0000  2 Bi 2.85
8 H 0.5903 0.7308 0.6364  1 H 0.98



# 5
Computed, not measured: crystalline Nd6Te3As2Au at its relaxed geometry at the PBE level of DFT.

Calculated values
DFT total energy in eV per formula unit: -67.18
Crystal system: monoclinic
V in Å³/f.u.: 361

a = 4.3372 Å, b = 8.9109 Å, c = 9.8745 Å
α = 103.59°, β = 102.69°, γ = 90.00°
With the nearest neighbours (Å) after each atom.
Element x y z (fractional)
1 Nd 0.0067 0.2418 0.0134  1 As 3.00, 2 Au 3.04, 3 Te 3.19-3.23
2 As 0.8327 0.6649 0.6654  6 Nd 2.99-3.00
3 As 0.1673 0.3351 0.3346  6 Nd 2.99-3.00
4 Nd 0.6658 0.1024 0.3315  2 As 3.00, 1 Au 3.10, 3 Te 3.15-3.24
5 Te 0.5000 0.5000 0.0000  6 Nd 3.19-3.24
6 Nd 0.3342 0.8976 0.6685  2 As 3.00, 1 Au 3.10, 3 Te 3.15-3.24
7 Te 0.1660 0.8326 0.3320  6 Nd 3.15-3.24
8 Nd 0.6729 0.5685 0.3459  3 As 2.99, 3 Te 3.23-3.24
9 Au 0.5000 0.0000 0.0000  6 Nd 3.04-3.10
10 Nd 0.3271 0.4315 0.6541  3 As 2.99, 3 Te 3.23-3.24
11 Te 0.8340 0.1674 0.6680  6 Nd 3.15-3.24
12 Nd 0.9933 0.7582 0.9866  1 As 3.00, 2 Au 3.04, 3 Te 3.19-3.23



# 6
Computed, not measured: crystalline AcGd2Sc at its relaxed geometry at the PBE level of DFT.

Calculated values
DFT total energy in eV per formula unit: -38.30
Energy of formation from the pure elements in eV per atom: 0.0750
Crystal system: tetragonal
V in Å³/f.u.: 133
Polymorph energy (0 for the lowest one) in eV per atom: 0.000

a = 3.6967 Å, b = 3.6967 Å, c = 9.7616 Å
α = 90.00°, β = 90.00°, γ = 90.00°
With the nearest neighbours (Å) after each atom.
Element x y z (fractional)
1 Ac 0.5000 0.5000 0.5000  4 Ac 3.70, 8 Gd 3.79
2 Sc 0.5000 0.5000 0.0000  8 Gd 3.37, 4 Sc 3.70
3 Gd 0.0000 0.0000 0.2184  4 Sc 3.37, 4 Gd 3.70
4 Gd 0.0000 0.0000 0.7816  4 Sc 3.37, 4 Gd 3.70



# 7
Computed, not measured: crystalline AcIn3Cu3 at its relaxed geometry at the PBE level of DFT.

Calculated values
DFT total energy in eV per formula unit: -25.24
Energy of formation from the pure elements in eV per atom: -0.0899
Crystal system: hexagonal
V in Å³/f.u.: 156

a = 4.4719 Å, b = 8.9783 Å, c = 8.9798 Å
α = 119.99°, β = 90.00°, γ = 90.00°
With the nearest neighbours (Å) after each atom.
Element x y z (fractional)
1 In 0.7500 0.7672 0.0519  4 Cu 2.74-2.84
2 Cu 0.2500 0.4046 0.4576  2 Cu 2.68, 4 In 2.74-2.84
3 In 0.2500 0.7154 0.7672  4 Cu 2.74-2.84
4 Ac 0.7500 0.3334 0.6667  9 Cu 3.07-3.18
5 Cu 0.2500 0.0529 0.5954  2 Cu 2.69, 4 In 2.74-2.84
6 Cu 0.7500 0.4574 0.0529  2 Cu 2.69, 4 In 2.74-2.84
7 In 0.7500 0.9481 0.7152  4 Cu 2.74-2.84
8 Cu 0.7500 0.9471 0.4046  2 Cu 2.69, 4 In 2.74-2.84
9 Ac 0.2500 0.6666 0.3333  9 Cu 3.07-3.18
10 In 0.7500 0.2846 0.2328  4 Cu 2.74-2.84
11 In 0.2500 0.2328 0.9481  4 Cu 2.74-2.84
12 In 0.2500 0.0519 0.2848  4 Cu 2.74-2.84
13 Cu 0.7500 0.5954 0.5424  2 Cu 2.68, 4 In 2.74-2.84
14 Cu 0.2500 0.5426 0.9471  2 Cu 2.69, 4 In 2.74-2.84



# 8
Computed, not measured: crystalline Ho12Tm6Sc at its relaxed geometry at the PBE level of DFT.

Calculated values
DFT total energy in eV per formula unit: -83.94
Energy of formation from the pure elements in eV per atom: 0.2185
Crystal system: trigonal
V in Å³/f.u.: 603
Polymorph energy (0 for the lowest one) in eV per atom: 0.058

a = 8.5486 Å, b = 8.5486 Å, c = 8.5486 Å
α = 98.33°, β = 98.33°, γ = 98.33°
With the nearest neighbours (Å) after each atom.
Element x y z (fractional)
1 Ho 0.3539 0.3539 0.0832  6 Ho 3.29-3.50, 2 Tm 3.68
2 Ho 0.0832 0.3539 0.3539  6 Ho 3.29-3.50, 2 Tm 3.68
3 Ho 0.6461 0.6461 0.9168  6 Ho 3.29-3.50, 2 Tm 3.68
4 Ho 0.9168 0.6461 0.6461  6 Ho 3.29-3.50, 2 Tm 3.68
5 Ho 0.6461 0.9168 0.6461  6 Ho 3.29-3.50, 2 Tm 3.68
6 Sc 0.0000 0.0000 0.0000  6 Tm 3.29
7 Ho 0.2424 0.5000 0.7576  6 Ho 3.29-3.50, 4 Tm 3.43-3.50
8 Tm 0.9035 0.3365 0.9035  3 Tm 3.13-3.45, 1 Sc 3.29, 4 Ho 3.43-3.50
9 Tm 0.0965 0.0965 0.6635  3 Tm 3.13-3.45, 1 Sc 3.29, 4 Ho 3.43-3.50
10 Ho 0.3539 0.0832 0.3539  6 Ho 3.29-3.50, 2 Tm 3.68
11 Ho 0.5000 0.7576 0.2424  6 Ho 3.29-3.50, 4 Tm 3.43-3.50
12 Ho 0.5000 0.2424 0.7576  6 Ho 3.29-3.50, 4 Tm 3.43-3.50
13 Tm 0.6635 0.0965 0.0965  3 Tm 3.13-3.45, 1 Sc 3.29, 4 Ho 3.43-3.50
14 Ho 0.7576 0.2424 0.5000  6 Ho 3.29-3.50, 4 Tm 3.43-3.50
15 Ho 0.2424 0.7576 0.5000  6 Ho 3.29-3.50, 4 Tm 3.43-3.50
16 Tm 0.9035 0.9035 0.3365  3 Tm 3.13-3.45, 1 Sc 3.29, 4 Ho 3.43-3.50
17 Ho 0.7576 0.5000 0.2424  6 Ho 3.29-3.50, 4 Tm 3.43-3.50
18 Tm 0.0965 0.6635 0.0965  3 Tm 3.13-3.45, 1 Sc 3.29, 4 Ho 3.43-3.50
19 Tm 0.3365 0.9035 0.9035  3 Tm 3.13-3.45, 1 Sc 3.29, 4 Ho 3.43-3.50



# 9
Computed, not measured: crystalline Be2Nb2Al at its relaxed geometry at the PBE level of DFT.

Calculated values
DFT total energy in eV per formula unit: -29.94
Energy of formation from the pure elements in eV per atom: 0.2788
Crystal system: tetragonal
V in Å³/f.u.: 75
Polymorph energy (0 for the lowest one) in eV per atom: 0.560

a = 7.1375 Å, b = 7.1375 Å, c = 2.9411 Å
α = 90.00°, β = 90.00°, γ = 90.00°
With the nearest neighbours (Å) after each atom.
Element x y z (fractional)
1 Nb 0.3667 0.8667 0.0000  6 Be 2.46-2.64, 1 Nb 2.69
2 Be 0.3290 0.1710 0.5000  6 Nb 2.46-2.64
3 Be 0.8290 0.3290 0.5000  6 Nb 2.46-2.64
4 Nb 0.8667 0.6333 0.0000  6 Be 2.46-2.64, 1 Nb 2.69
5 Al 0.0000 0.0000 0.0000  4 Nb 2.78, 2 Al 2.94, 8 Be 3.03
6 Nb 0.1333 0.3667 0.0000  6 Be 2.46-2.64, 1 Nb 2.69
7 Be 0.6710 0.8290 0.5000  6 Nb 2.46-2.64
8 Nb 0.6333 0.1333 0.0000  6 Be 2.46-2.64, 1 Nb 2.69
9 Al 0.5000 0.5000 0.0000  4 Nb 2.78, 2 Al 2.94, 8 Be 3.03
10 Be 0.1710 0.6710 0.5000  6 Nb 2.46-2.64



# 10
Computed, not measured: crystalline Dy3AsC at its relaxed geometry at the PBE level of DFT.

Calculated values
DFT total energy in eV per formula unit: -30.49
Energy of formation from the pure elements in eV per atom: -0.5612
Crystal system: monoclinic
V in Å³/f.u.: 121

a = 4.0105 Å, b = 8.0263 Å, c = 7.8585 Å
α = 81.53°, β = 90.00°, γ = 104.47°
With the nearest neighbours (Å) after each atom.
Element x y z (fractional)
1 Dy 0.0472 0.0944 0.1732  2 C 2.34-2.42
2 Dy 0.3184 0.6369 0.1220  2 C 2.39
3 Dy 0.9528 0.9056 0.8268  2 C 2.34-2.42
4 Dy 0.6816 0.3631 0.8780  2 C 2.39
5 As 0.6741 0.3482 0.2663  8 Dy 2.97-3.22
6 Dy 0.1544 0.3089 0.5487  1 C 2.52
7 Dy 0.8456 0.6911 0.4513  1 C 2.52
8 C 0.9008 0.8015 0.1333  5 Dy 2.34-2.52
9 As 0.3259 0.6518 0.7337  8 Dy 2.97-3.22
10 C 0.0992 0.1985 0.8667  5 Dy 2.34-2.52



# 11
Computed, not measured: crystalline LiBe4W at its relaxed geometry at the PBE level of DFT.

Calculated values
DFT total energy in eV per formula unit: -28.94
Energy of formation from the pure elements in eV per atom: 0.1384
Crystal system: cubic
V in Å³/f.u.: 60

a = 4.3995 Å, b = 4.3995 Å, c = 4.3995 Å
α = 60.00°, β = 60.00°, γ = 60.00°
With the nearest neighbours (Å) after each atom.
Element x y z (fractional)
1 Be 0.3718 0.8845 0.3718  6 Be 2.14-2.26
2 Be 0.8845 0.3718 0.3718  6 Be 2.14-2.26
3 Be 0.3718 0.3718 0.3718  6 Be 2.14-2.26
4 Be 0.3718 0.3718 0.8845  6 Be 2.14-2.26
5 Li 0.7500 0.7500 0.7500  12 Be 2.59, 4 W 2.69
6 W 0.0000 0.0000 0.0000  12 Be 2.57, 4 Li 2.69



# 12
Computed, not measured: crystalline NaTb4PuS8 at its relaxed geometry at the PBE level of DFT.

Calculated values
DFT total energy in eV per formula unit: -93.23
Crystal system: trigonal
V in Å³/f.u.: 383

a = 8.1243 Å, b = 8.1243 Å, c = 8.1828 Å
α = 60.24°, β = 60.24°, γ = 60.00°
With the nearest neighbours (Å) after each atom.
Element x y z (fractional)
1 Na 0.3746 0.3746 0.8762  4 S 2.72
2 Tb 0.0047 0.4877 0.5030  6 S 2.70-2.85
3 S 0.7583 0.7583 0.7251  4 Tb 2.66-2.85
4 S 0.2392 0.2392 0.2825  3 Tb 2.71, 1 Na 2.72
5 S 0.2269 0.7558 0.2615  3 Tb 2.65-2.83, 1 Pu 2.86
6 S 0.7558 0.7558 0.2615  3 Tb 2.65-2.83, 1 Pu 2.86
7 Pu 0.0032 0.0032 0.9904  6 S 2.73-2.86
8 S 0.2392 0.7849 0.7367  2 Tb 2.70, 1 Na 2.72, 1 Pu 2.73
9 S 0.7849 0.2392 0.7367  2 Tb 2.70, 1 Na 2.72, 1 Pu 2.73
10 S 0.2392 0.2392 0.7367  2 Tb 2.70, 1 Na 2.72, 1 Pu 2.73
11 Tb 0.6259 0.6259 0.1222  4 S 2.65-2.66
12 S 0.7558 0.2269 0.2615  3 Tb 2.65-2.83, 1 Pu 2.86
13 Tb 0.0047 0.0047 0.5030  6 S 2.70-2.85
14 Tb 0.4877 0.0047 0.5030  6 S 2.70-2.85



# 13
Computed, not measured: crystalline RbMgBe3 at its relaxed geometry at the PBE level of DFT.

Calculated values
DFT total energy in eV per formula unit: -7.37
Energy of formation from the pure elements in eV per atom: 1.2741
Crystal system: cubic
V in Å³/f.u.: 122
Polymorph energy (0 for the lowest one) in eV per atom: 0.000

a = 4.9594 Å, b = 4.9594 Å, c = 4.9594 Å
α = 90.00°, β = 90.00°, γ = 90.00°
With the nearest neighbours (Å) after each atom.
Element x y z (fractional)
1 Mg 0.0000 0.0000 0.0000  6 Be 2.48
2 Be 0.5000 0.0000 0.0000  2 Mg 2.48
3 Be 0.0000 0.0000 0.5000  2 Mg 2.48
4 Rb 0.5000 0.5000 0.5000  12 Be 3.51
5 Be 0.0000 0.5000 0.0000  2 Mg 2.48



# 14
Computed, not measured: crystalline GeH5Os at its relaxed geometry at the PBE level of DFT.

Calculated values
DFT total energy in eV per formula unit: -30.55
Crystal system: monoclinic
V in Å³/f.u.: 55

a = 4.5382 Å, b = 4.5382 Å, c = 5.5101 Å
α = 80.57°, β = 80.57°, γ = 96.99°
With the nearest neighbours (Å) after each atom.
Element x y z (fractional)
1 Ge 0.0341 0.4660 0.2500  2 H 1.86
2 Os 0.5000 0.5000 0.5000  6 H 1.71-1.83
3 H 0.3192 0.1807 0.7500  2 H 1.63
4 H 0.0615 0.0562 0.2876  1 Os 1.71, 1 Ge 1.86
5 H 0.5562 0.5615 0.7876  1 Os 1.71, 1 Ge 1.86
6 H 0.4438 0.4385 0.2124  1 Os 1.71, 1 Ge 1.86
7 H 0.9385 0.9438 0.7124  1 Os 1.71, 1 Ge 1.86
8 H 0.3803 0.9687 0.9990  1 H 1.09
9 H 0.5313 0.1197 0.5010  1 H 1.09
10 Ge 0.9660 0.5341 0.7500  2 H 1.86
11 H 0.6197 0.0313 0.0010  1 H 1.09
12 H 0.6807 0.8192 0.2500  2 H 1.63
13 H 0.4687 0.8803 0.4990  1 H 1.09
14 Os 0.0000 0.0000 0.0000  6 H 1.71-1.83



# 15
Computed, not measured: crystalline KCePm2Se4 at its relaxed geometry at the PBE level of DFT.

Calculated values
DFT total energy in eV per formula unit: -44.45
Crystal system: monoclinic
V in Å³/f.u.: 223

a = 4.2328 Å, b = 7.4853 Å, c = 7.4353 Å
α = 71.26°, β = 90.00°, γ = 90.00°
With the nearest neighbours (Å) after each atom.
Element x y z (fractional)
1 Se 0.5000 0.2342 0.7639  3 Pm 2.94-3.02, 1 Ce 3.05, 2 K 3.13
2 Se 0.0000 0.2430 0.2462  3 Pm 2.97-3.02, 2 Ce 3.04, 1 K 3.10
3 Se 0.5000 0.7658 0.2361  3 Pm 2.94-3.02, 1 Ce 3.05, 2 K 3.13
4 Ce 0.5000 0.5000 0.0000  6 Se 3.04-3.05
5 Pm 0.0000 0.0000 0.0000  6 Se 2.94-2.97
6 K 0.0000 0.5000 0.5000  6 Se 3.10-3.13
7 Pm 0.5000 0.0000 0.5000  6 Se 3.02
8 Se 0.0000 0.7570 0.7538  3 Pm 2.97-3.02, 2 Ce 3.04, 1 K 3.10